This record from Alexandria via LeMat-Bulk describes a geometry-optimized CsLi3Zn4Cl12 structure. The functional is PBE-GGA.

a = 13.8940 Å, b = 13.8940 Å, c = 9.8354 Å
α = 90.00°, β = 90.00°, γ = 120.00°
Space group R32 (No. 155, hexagonal axes)
Unique sites:
Cs1 0.0000 0.0000 0.0000 (multiplicity 3)
Li1 0.0000 0.5597 0.0000 (multiplicity 9)
Zn1 0.0000 0.0000 0.5000 (multiplicity 3)
Zn2 0.0000 0.4351 0.5000 (multiplicity 9)
Cl1 0.0000 0.5940 0.5000 (multiplicity 9)
Cl2 0.0000 0.8408 0.5000 (multiplicity 9)
Cl3 0.0603 0.2374 0.1756 (multiplicity 18)

M_tot = 0.00 μB/atom
calculated total energy = -3.0600 eV/atom

This record from Alexandria via LeMat-Bulk describes a geometry-optimized Li2ReRu structure. The functional is PBE-GGA.

a = 2.6550 Å, b = 2.6550 Å, c = 28.1458 Å
α = 90.00°, β = 90.00°, γ = 120.00°
Space group R-3m (No. 166, hexagonal axes)
Unique sites:
Li1 0.0000 0.0000 0.2476 (multiplicity 6)
Re1 0.0000 0.0000 0.0000 (multiplicity 3)
Ru1 0.0000 0.0000 0.5000 (multiplicity 3)

M_tot = 0.28 μB/atom
calculated total energy = -6.0898 eV/atom
offset from the most stable computed form = 142.8 meV/atom

This record from Alexandria via LeMat-Bulk describes a geometry-optimized Pm2Pr4Nd2Sm structure. The functional is PBE-GGA.

a = 19.2621 Å, b = 3.7133 Å, c = 9.9006 Å
α = 90.00°, β = 115.59°, γ = 90.00°
Space group C2/m (No. 12)
Unique sites:
Pm1 0.1484 0.0000 0.1692 (multiplicity 4)
Pr1 0.0181 0.5000 0.8317 (multiplicity 4)
Pr2 0.1852 0.0000 0.8311 (multiplicity 4)
Nd1 0.1664 0.5000 0.4992 (multiplicity 4)
Sm1 0.0000 0.0000 0.5000 (multiplicity 2)

M_tot = 0.00 μB/atom
calculated total energy = -4.7519 eV/atom

This record from Alexandria via LeMat-Bulk describes a geometry-optimized LiIF2 structure. The functional is PBE-GGA.

a = 5.4915 Å, b = 5.4915 Å, c = 8.3947 Å
α = 90.00°, β = 90.00°, γ = 90.00°
Space group I-42d (No. 122)
Unique sites:
Li1 0.0000 0.0000 0.0000 (multiplicity 4)
I1 0.0000 0.0000 0.5000 (multiplicity 4)
F1 0.1190 0.2500 0.1250 (multiplicity 8)

M_tot = 0.00 μB/atom
calculated total energy = -3.3317 eV/atom
offset from the most stable computed form = 131.2 meV/atom

This record from Alexandria via LeMat-Bulk describes a geometry-optimized NdYBr3 structure. The functional is PBE-GGA.

a = 18.0758 Å, b = 3.9696 Å, c = 11.5392 Å
α = 90.00°, β = 123.12°, γ = 90.00°
Space group C2/m (No. 12)
Unique sites:
Nd1 0.1381 0.0000 0.2866 (multiplicity 4)
Y1 0.0742 0.5000 0.9575 (multiplicity 4)
Br1 0.0390 0.0000 0.7491 (multiplicity 4)
Br2 0.1623 0.5000 0.5081 (multiplicity 4)
Br3 0.2146 0.0000 0.1161 (multiplicity 4)

M_tot = 0.00 μB/atom
calculated total energy = -4.7763 eV/atom

This record from Alexandria via LeMat-Bulk describes a geometry-optimized LaDy2Pd structure. The functional is PBE-GGA.

a = 3.8137 Å, b = 12.5809 Å, c = 9.5145 Å
α = 90.00°, β = 90.00°, γ = 90.00°
Space group Cmcm (No. 63)
Unique sites:
La1 0.0000 0.0632 0.2500 (multiplicity 4)
Dy1 0.0000 0.3618 0.0615 (multiplicity 8)
Pd1 0.0000 0.2362 0.7500 (multiplicity 4)

M_tot = 0.00 μB/atom
calculated total energy = -5.2645 eV/atom
offset from the most stable computed form = 20.0 meV/atom

This record from Alexandria via LeMat-Bulk describes a geometry-optimized K2PBr structure. The functional is PBE-GGA.

a = 8.0772 Å, b = 8.0772 Å, c = 8.0772 Å
α = 90.00°, β = 90.00°, γ = 90.00°
Space group Fm-3m (No. 225)
Unique sites:
K1 0.2500 0.2500 0.2500 (multiplicity 8)
P1 0.0000 0.0000 0.0000 (multiplicity 4)
Br1 0.0000 0.0000 0.5000 (multiplicity 4)

M_tot = 0.50 μB/atom
calculated total energy = -2.7856 eV/atom
offset from the most stable computed form = 129.9 meV/atom

This record from Alexandria via LeMat-Bulk describes a geometry-optimized BeAlPW2 structure. The functional is PBE-GGA.

a = 4.5525 Å, b = 4.5525 Å, c = 3.7892 Å
α = 90.00°, β = 90.00°, γ = 90.00°
Space group P4/mmm (No. 123)
Unique sites:
Be1 0.0000 0.0000 0.0000 (multiplicity 1)
Al1 0.5000 0.5000 0.0000 (multiplicity 1)
P1 0.0000 0.0000 0.5000 (multiplicity 1)
W1 0.0000 0.5000 0.5000 (multiplicity 2)

M_tot = 0.00 μB/atom
calculated total energy = -7.0704 eV/atom